Compound: BC2
Source: Alexandria via LeMat-Bulk
Functional: PBE-GGA
Structure: relaxed

Lattice parameters (Å, degrees): 4.672 4.545 4.463 101.33 96.29 120.88
Positions (direct):
1 B 0.065 0.753 0.130
2 B 0.520 0.503 0.510
3 B 0.373 0.656 0.973
4 B 0.609 0.267 0.988
5 C 0.163 0.832 0.504
6 C 0.364 0.371 0.133
7 C 0.165 0.545 0.629
8 C 0.833 0.166 0.502
9 C 0.738 0.058 0.139
10 C 0.542 0.197 0.622
11 C 0.996 0.010 0.993
12 C 0.883 0.892 0.628

Computed properties:
N(E_F) (states/eV per atom): 0.09
Energy above the lowest structure with this stoichiometry (meV/atom): 121
Spin magnetization (μB per atom): 0.000
Raw total energy (eV per atom): -8.014
Mass density (g cm⁻³): 3.0